DFT (PBE-GGA) results for crystalline Sr2YCdHg6 at its relaxed geometry.

As for the formation energy from the elements: -116 meV/atom. As for the density of states at the Fermi level: 35.9 states/eV per cell.

The space group is Fm-3m (No. 225) and the conventional cell measures 11.236, 11.236 and 11.236 Å, with angles of 90.00, 90.00 and 90.00 degrees. The inequivalent atoms are Sr at (0.250, 0.250, 0.250), Y at (0.000, 0.000, 0.000), Cd at (0.000, 0.000, 0.500) and Hg at (0.000, 0.000, 0.255).